No. 1
Below is a relaxed structure of AcLa3Pm6Pr2, with properties calculated at the PBE level.

a b c (Å): 6.454 6.454 12.231
angles (deg): 95.05 95.05 120.06
Element x y z (fractional)
Ac  0.000  0.000  0.000
La  0.167  0.833  0.500
La  0.500  0.500  0.500
La  0.833  0.167  0.500
Pm  0.084  0.420  0.251
Pm  0.252  0.252  0.748
Pm  0.420  0.084  0.251
Pm  0.580  0.916  0.749
Pm  0.748  0.748  0.252
Pm  0.916  0.580  0.749
Pr  0.333  0.667  0.000
Pr  0.667  0.333  0.000

Computed properties:
- Symmetry: No. 12
- Electronic total energy: -56.76 eV per cell
- Density: 6.9 g/cm3



No. 2
Below is a relaxed structure of AcLaPm5Pr2, with properties calculated at the PBE level.

a b c (Å): 10.296 10.296 10.296
angles (deg): 127.73 127.73 77.07
Element x y z (fractional)
Ac  0.250  0.750  0.500
Ac  0.750  0.250  0.500
La  0.250  0.250  0.000
La  0.750  0.750  0.000
Pm  0.000  0.000  0.000
Pm  0.078  0.578  0.920
Pm  0.158  0.078  0.500
Pm  0.342  0.842  0.920
Pm  0.422  0.342  0.500
Pm  0.500  0.500  0.000
Pm  0.578  0.658  0.500
Pm  0.658  0.158  0.080
Pm  0.842  0.922  0.500
Pm  0.922  0.422  0.080
Pr  0.116  0.384  0.500
Pr  0.384  0.884  0.267
Pr  0.616  0.116  0.733
Pr  0.884  0.616  0.500

Computed properties:
- Symmetry: No. 140
- Electronic total energy: -80.28 eV per cell
- Density: 6.9 g/cm3



No. 3
Below is a relaxed structure of AcLa2PmPr4, with properties calculated at the PBE level.

a b c (Å): 5.298 5.321 10.570
angles (deg): 90.00 90.12 90.00
Element x y z (fractional)
Ac  0.000  0.000  0.000
La  0.000  0.000  0.500
La  0.500  0.500  0.000
Pm  0.500  0.500  0.500
Pr  0.001  0.500  0.256
Pr  0.500  0.000  0.256
Pr  0.500  0.000  0.744
Pr  0.999  0.500  0.744

Computed properties:
- Symmetry: No. 10
- Electronic total energy: -37.70 eV per cell
- Density: 6.8 g/cm3



No. 4
Below is a relaxed structure of Ac5LaPmPr2, with properties calculated at the PBE level.

a b c (Å): 12.148 12.148 12.148
angles (deg): 139.03 139.03 59.32
Element x y z (fractional)
Ac  0.000  0.000  0.000
Ac  0.082  0.582  0.931
Ac  0.151  0.082  0.500
Ac  0.349  0.849  0.931
Ac  0.418  0.349  0.500
Ac  0.500  0.500  0.000
Ac  0.582  0.651  0.500
Ac  0.651  0.151  0.069
Ac  0.849  0.918  0.500
Ac  0.918  0.418  0.069
La  0.250  0.250  0.000
La  0.750  0.750  0.000
Pm  0.250  0.750  0.500
Pm  0.750  0.250  0.500
Pr  0.122  0.378  0.500
Pr  0.378  0.878  0.256
Pr  0.622  0.122  0.744
Pr  0.878  0.622  0.500

Computed properties:
- Symmetry: No. 140
- Electronic total energy: -74.84 eV per cell
- Density: 7.4 g/cm3



What is the formula in the second record?
AcLaPm5Pr2



Which formula does entry 4 have?
Ac5LaPmPr2